1.
A plane-wave DFT calculation with PBE-GGA was carried out for crystalline Li5ZrO4 at its relaxed geometry.

Uncorrected energy = -58.78 eV per formula unit

The structure in POSCAR format:
```
Li5ZrO4
1.0
5.306 0.000 0.000
0.000 3.109 0.000
-0.146 0.000 5.479
Li Zr O
5 1 4
Direct
0.000 0.000 0.000 Li
0.352 0.500 0.145 Li
0.385 0.000 0.678 Li
0.615 0.000 0.322 Li
0.648 0.500 0.855 Li
0.000 0.500 0.500 Zr
0.243 0.500 0.817 O
0.254 0.000 0.326 O
0.746 0.000 0.674 O
0.757 0.500 0.183 O
```


2.
A plane-wave DFT calculation with PBE-GGA was carried out for crystalline LiOs at its relaxed geometry.

Uncorrected energy = -10.30 eV per formula unit

The structure in POSCAR format:
```
LiOs
1.0
0.000 2.292 2.292
2.292 0.000 2.292
2.292 2.292 0.000
Li Os
1 1
Direct
0.000 0.000 0.000 Li
0.500 0.500 0.500 Os
```


3.
A plane-wave DFT calculation with PBE-GGA was carried out for crystalline LiOs2 at its relaxed geometry.

Uncorrected energy = -10.81 eV per formula unit

The structure in POSCAR format:
```
LiOs2
1.0
0.000 4.886 4.886
4.886 0.000 4.886
4.886 4.886 0.000
Li Os
2 4
Direct
0.125 0.125 0.125 Li
0.875 0.875 0.875 Li
0.000 0.000 0.000 Os
0.000 0.000 0.500 Os
0.000 0.500 0.000 Os
0.500 0.000 0.000 Os
```


4.
A plane-wave DFT calculation with PBE-GGA was carried out for crystalline LiOs5 at its relaxed geometry.

Uncorrected energy = -53.61 eV per formula unit

The structure in POSCAR format:
```
LiOs5
1.0
5.066 0.000 0.000
-2.533 4.388 0.000
0.000 0.000 4.479
Li Os
1 5
Direct
0.000 0.000 0.000 Li
0.000 0.500 0.500 Os
0.333 0.667 0.000 Os
0.500 0.000 0.500 Os
0.500 0.500 0.500 Os
0.667 0.333 0.000 Os
```


5.
A plane-wave DFT calculation with PBE-GGA was carried out for crystalline Li2Os5 at its relaxed geometry.

Uncorrected energy = -56.70 eV per formula unit

The structure in POSCAR format:
```
Li2Os5
1.0
2.089 1.206 6.820
-2.089 1.206 6.820
0.000 -2.413 6.820
Li Os
2 5
Direct
0.000 0.000 0.000 Li
0.485 0.485 0.485 Li
0.240 0.240 0.240 Os
0.365 0.365 0.365 Os
0.613 0.613 0.613 Os
0.746 0.746 0.746 Os
0.862 0.862 0.862 Os
```


6.
A plane-wave DFT calculation with PBE-GGA was carried out for crystalline LiOs at its relaxed geometry.

Uncorrected energy = -7.47 eV per formula unit

The structure in POSCAR format:
```
LiOs
1.0
0.000 2.616 2.616
2.616 0.000 2.616
2.616 2.616 0.000
Li Os
1 1
Direct
0.000 0.000 0.000 Li
0.750 0.750 0.750 Os
```


How do the records compare in ρ? In the order shown, they have 3.5, 13.6, 5.5, 16.0, 15.5, 9.1 g/cm3.